## V2CdO4 (PBE with a Hubbard U)

Data for a geometry-optimized V2CdO4 structure. Values from VASP.

## Properties
magnetic moment: 0.571 μB per atom
raw total energy: -6.626 eV per atom
V: 11.6 Å³/atom
energy above the most stable polymorph in this dataset: 283 meV per atom
symmetry: I-42d (122)

```
&SYSTEM
  ibrav = 0, nat = 14, ntyp = 3
/
ATOMIC_SPECIES
V 50.94 V.upf
Cd 112.41 Cd.upf
O 16.00 O.upf
ATOMIC_POSITIONS angstrom
V 1.069 1.489 4.064
V 2.879 0.282 7.063
V 1.787 3.685 6.086
V -1.236 2.695 1.426
Cd 0.000 0.000 0.000
Cd -1.152 3.294 4.660
O 0.367 2.334 5.947
O 0.067 3.161 2.820
O 4.144 0.456 2.948
O 2.687 2.525 4.475
O 4.828 0.326 5.820
O 2.894 2.203 7.474
O 1.171 0.452 2.398
O 1.948 -0.184 5.397
CELL_PARAMETERS angstrom
5.767 -0.318 1.660
-3.342 4.710 1.661
-0.175 -0.317 5.998
```